The following is a DFT calculation (PBE-GGA) of a geometry-optimized Sr2Cd3Au2 structure.

ΔH_f (0 K): -516 meV/atom
space group: C2/m
size of the total moment: 0.00 μB per atom

Cell lengths 5.9307, 5.9307, 7.8375 Å; angles 109.93, 109.93, 46.15 degrees
Fractional coordinates of all 7 atoms:
1 Sr 0.1398 0.1398 0.2778
2 Sr 0.8602 0.8602 0.7222
3 Cd 0.3760 0.3760 0.0656
4 Cd 0.5000 0.5000 0.5000
5 Cd 0.6240 0.6240 0.9344
6 Au 0.1519 0.1519 0.7113
7 Au 0.8481 0.8481 0.2887